Compound: TlCoCF2
Source: the Alexandria database
Functional: PBE+U
Structure: relaxed

```
TlCoCF2
1.0
-1.306 -3.256 -1.251
5.867 -2.206 -0.382
-0.241 -1.248 3.501
Tl Co C F
1 1 1 2
direct
0.000 0.500 0.000
0.000 0.000 0.000
0.500 0.500 0.500
0.000 0.000 0.500
0.500 0.000 0.000
```

Properties
- VASP energy (Ry per atom) = -0.2926